# 1
Cs2KScTe: optimized geometry, GGA-PBE.

```
Cs2KScTe
1.0
7.4032 0.0000 0.0000
0.0000 6.0959 0.0000
0.0000 0.0000 7.4032
Te K Cs Sc
1 1 2 1
Direct
0.0000 0.5000 0.0000
0.0000 0.0000 0.0000
0.5000 0.0000 0.0000
0.0000 0.0000 0.5000
0.5000 0.5000 0.5000
```

Summary:
Total magnetization = 1.93 μB per formula unit
Volume = 66.82 Å³/atom
Calculated total energy = -2.088 eV/atom
D(E_F) = 2.44 states/eV/atom
Symmetry = P4/mmm (123)
Density = 2.4 Mg/m³



# 2
CdInSb: optimized geometry, GGA-PBE.

```
CdInSb
1.0
0.0441 -4.0643 -2.4270
-1.9680 0.1780 4.3019
-7.4465 4.8333 -3.5747
Cd Sb In
2 2 2
Direct
0.6004 0.8002 0.4007
0.3996 0.1998 0.5993
0.1801 0.0902 0.2702
0.8199 0.9098 0.7298
0.7296 0.3649 0.0945
0.2704 0.6351 0.9055
```

Summary:
Total magnetization = 0.00 μB per formula unit
Volume = 29.62 Å³/atom
Calculated total energy = -2.604 eV/atom
D(E_F) = 0.25 states/eV/atom
Symmetry = C2/m (12)
Density = 6.5 Mg/m³



# 3
Li3TbAg3: optimized geometry, GGA-PBE.

```
Li3TbAg3
1.0
6.7407 0.0000 0.0000
0.0000 6.7407 0.0000
0.0000 0.0000 6.7407
Li Ag Tb
6 6 2
Direct
0.7500 0.0000 0.5000
0.2500 0.0000 0.5000
0.0000 0.5000 0.2500
0.5000 0.2500 0.0000
0.5000 0.7500 0.0000
0.0000 0.5000 0.7500
0.5000 0.0000 0.7500
0.0000 0.2500 0.5000
0.5000 0.0000 0.2500
0.7500 0.5000 0.0000
0.2500 0.5000 0.0000
0.0000 0.7500 0.5000
0.5000 0.5000 0.5000
0.0000 0.0000 0.0000
```

Summary:
Total magnetization = 0.00 μB per formula unit
DFT formation energy = 1.592 eV/f.u.
Volume = 21.88 Å³/atom
D(E_F) = 0.49 states/eV/atom
Symmetry = Pm-3n (223)
Density = 5.5 Mg/m³



# 4
TbTcF: optimized geometry, GGA-PBE.

```
TbTcF
1.0
4.0383 0.0000 0.0000
2.0192 3.4973 0.0000
2.0192 1.1658 7.8988
F Tb Tc
2 2 2
Direct
0.3069 0.3069 0.0794
0.6931 0.6931 0.9206
0.4062 0.4062 0.7814
0.5938 0.5938 0.2186
0.1574 0.1574 0.5277
0.8426 0.8426 0.4723
```

Summary:
Total magnetization = 0.00 μB per formula unit
Volume = 18.59 Å³/atom
Calculated total energy = -7.392 eV/atom
D(E_F) = 0.60 states/eV/atom
Symmetry = R-3m (166)
Density = 8.2 Mg/m³



# 5
Cu2SbPtSe: optimized geometry, GGA-PBE.

```
Cu2SbPtSe
1.0
4.8028 0.0000 0.0000
0.0000 4.9989 0.0000
0.0000 0.0000 4.8028
Sb Cu Pt Se
1 2 1 1
Direct
0.0000 0.5000 0.0000
0.0000 0.0000 0.5000
0.5000 0.0000 0.0000
0.0000 0.0000 0.0000
0.5000 0.5000 0.5000
```

Summary:
Total magnetization = 0.00 μB per formula unit
Volume = 23.06 Å³/atom
Calculated total energy = -3.867 eV/atom
D(E_F) = 0.60 states/eV/atom
Symmetry = P4/mmm (123)
Density = 7.5 Mg/m³



# 6
Sr2BiAu: optimized geometry, GGA-PBE.

```
Sr2BiAu
1.0
4.0587 0.0000 0.0000
0.0000 5.6398 0.0000
0.0000 0.0000 5.6398
Sr Au Bi
2 1 1
Direct
0.0000 0.5000 0.0000
0.0000 0.0000 0.5000
0.5000 0.0000 0.0000
0.5000 0.5000 0.5000
```

Summary:
Total magnetization = 0.00 μB per formula unit
DFT formation energy = -3.151 eV/f.u.
Volume = 32.27 Å³/atom
D(E_F) = 0.26 states/eV/atom
Symmetry = P4/mmm (123)
Density = 7.5 Mg/m³



# 7
Sm2PuGeN5: optimized geometry, GGA-PBE.

```
Sm2PuGeN5
1.0
3.3899 0.0000 0.0000
-1.6949 7.1176 0.0000
0.0000 0.0000 10.3193
Sm N Pu Ge
4 10 2 2
Direct
0.8925 0.7851 0.1819
0.1304 0.2609 0.3151
0.8696 0.7391 0.8151
0.1075 0.2149 0.6819
0.2863 0.5727 0.6594
0.6453 0.2906 0.5054
0.9570 0.9141 0.5382
0.3222 0.6445 0.3793
0.5085 0.0169 0.2805
0.6778 0.3555 0.8793
0.0430 0.0859 0.0382
0.7137 0.4273 0.1594
0.3547 0.7094 0.0054
0.4915 0.9831 0.7805
0.2072 0.4143 0.0211
0.7928 0.5857 0.5211
0.4571 0.9141 0.4429
0.5429 0.0859 0.9429
```

Summary:
Total magnetization = 3.00 μB per formula unit
Volume = 13.83 Å³/atom
Calculated total energy = -8.681 eV/atom
D(E_F) = 0.54 states/eV/atom
Symmetry = Cmc2_1 (36)
Density = 9.2 Mg/m³



# 8
Th4OsCSe2: optimized geometry, GGA-PBE.

```
Th4OsCSe2
1.0
-2.1852 1.2696 3.0959
-5.8058 -2.5905 -3.0356
2.9475 -5.3512 4.2750
Th Se C Os
4 2 1 1
Direct
0.0000 0.7211 0.2073
0.0000 0.2789 0.7927
0.5000 0.2492 0.2136
0.5000 0.7508 0.7864
0.0000 0.5000 0.5000
0.5000 0.0000 0.5000
0.5000 0.5000 0.0000
0.0000 0.0000 0.0000
```

Summary:
Total magnetization = 0.00 μB per formula unit
Volume = 24.96 Å³/atom
Calculated total energy = -8.094 eV/atom
D(E_F) = 0.88 states/eV/atom
Symmetry = P2/m (10)
Density = 10.7 Mg/m³



# 9
Pu2BeSi4Ir3: optimized geometry, GGA-PBE.

```
Pu2BeSi4Ir3
1.0
4.1018 0.0000 0.0000
0.0000 4.1018 0.0000
0.0000 0.0000 9.9173
Ir Si Be Pu
3 4 1 2
Direct
0.0000 0.0000 0.5000
0.5000 0.0000 0.8714
0.0000 0.5000 0.1286
0.5000 0.0000 0.6304
0.0000 0.0000 0.0000
0.5000 0.5000 0.0000
0.0000 0.5000 0.3696
0.5000 0.5000 0.5000
0.5000 0.0000 0.2548
0.0000 0.5000 0.7452
```

Summary:
Total magnetization = 9.99 μB per formula unit
Volume = 16.69 Å³/atom
Calculated total energy = -8.748 eV/atom
D(E_F) = 2.37 states/eV/atom
Symmetry = P-4m2 (115)
Density = 11.8 Mg/m³



# 10
Sc5Al3: optimized geometry, GGA-PBE.

```
Sc5Al3
1.0
5.8503 0.0000 0.0000
0.0000 8.3130 0.0000
0.0000 -4.1565 7.1993
Sc Al
10 6
Direct
0.2500 0.2365 0.2365
0.0000 0.6667 0.3333
0.7500 0.2365 0.0000
0.7500 0.0000 0.2365
0.5000 0.6667 0.3333
0.2500 0.7635 0.0000
0.7500 0.7635 0.7635
0.2500 0.0000 0.7635
0.5000 0.3333 0.6667
0.0000 0.3333 0.6667
0.2500 0.0000 0.4032
0.7500 0.4032 0.4032
0.7500 0.0000 0.5968
0.7500 0.5968 0.0000
0.2500 0.4032 0.0000
0.2500 0.5968 0.5968
```

Summary:
Excess energy over the best structure of this formula in the dataset = 33 meV per atom
Total magnetization = 0.00 μB per formula unit
DFT formation energy = -2.488 eV/f.u.
Volume = 21.88 Å³/atom
D(E_F) = 1.58 states/eV/atom
Symmetry = P6_3/mcm (193)
Density = 2.9 Mg/m³



# 11
Pm12Sm3Al: optimized geometry, GGA-PBE.

```
Pm12Sm3Al
1.0
5.0587 0.0000 0.0000
0.0000 5.0587 0.0000
0.0000 0.0000 20.5668
Sm Pm Al
3 12 1
Direct
0.0000 0.0000 0.2454
0.0000 0.0000 0.7546
0.0000 0.0000 0.5000
0.5000 0.0000 0.1163
0.0000 0.5000 0.1163
0.5000 0.5000 0.2431
0.5000 0.5000 0.0000
0.5000 0.0000 0.6279
0.5000 0.5000 0.7569
0.5000 0.0000 0.8837
0.5000 0.5000 0.5000
0.0000 0.5000 0.8837
0.0000 0.5000 0.6279
0.5000 0.0000 0.3721
0.0000 0.5000 0.3721
0.0000 0.0000 0.0000
```

Summary:
Total magnetization = 0.00 μB per formula unit
DFT formation energy = -0.243 eV/f.u.
Volume = 32.90 Å³/atom
D(E_F) = 1.46 states/eV/atom
Symmetry = P4/mmm (123)
Density = 7.0 Mg/m³



# 12
NbPd3S: optimized geometry, GGA-PBE.

```
NbPd3S
1.0
4.8458 0.0000 0.0000
0.0000 4.8458 0.0000
0.0000 0.0000 4.8458
Pd Nb S
3 1 1
Direct
0.0000 0.0000 0.5000
0.5000 0.0000 0.0000
0.0000 0.5000 0.0000
0.0000 0.0000 0.0000
0.5000 0.5000 0.5000
```

Summary:
Excess energy over the best structure of this formula in the dataset = 902 meV per atom
Total magnetization = 0.00 μB per formula unit
Volume = 22.76 Å³/atom
D(E_F) = 1.08 states/eV/atom
Symmetry = Pm-3m (221)
Density = 6.5 Mg/m³



# 13
BaNa2U2O7: optimized geometry, GGA-PBE.

```
BaNa2U2O7
1.0
-1.0044 -0.6840 -4.2172
-3.7642 -1.9082 1.2068
-2.2916 10.3000 1.1604
O Na U Ba
7 2 2 1
Direct
0.5000 0.5000 0.0000
0.0985 0.5985 0.1970
0.2919 0.2919 0.5838
0.9015 0.4015 0.8030
0.7081 0.7081 0.4163
0.5986 0.0985 0.1971
0.4015 0.9014 0.8029
0.7500 0.2498 0.4998
0.2501 0.7501 0.5002
0.6084 0.6083 0.2167
0.3916 0.3916 0.7833
0.0000 0.0000 0.0000
```

Summary:
Total magnetization = 2.00 μB per formula unit
Volume = 16.30 Å³/atom
Calculated total energy = -8.031 eV/atom
D(E_F) = 0.05 states/eV/atom
Symmetry = I4/mmm (139)
Density = 6.5 Mg/m³



# 14
IrRuO: optimized geometry, GGA-PBE.

```
IrRuO
1.0
-0.3655 2.4447 1.2393
-1.7284 -0.8074 -2.0017
-3.2792 -2.4206 3.8078
Ir O Ru
1 1 1
Direct
0.0000 0.0000 0.6862
0.0000 0.0000 0.3236
0.3333 0.6667 0.0702
```

Summary:
Excess energy over the best structure of this formula in the dataset = 75 meV per atom
Total magnetization = 0.00 μB per formula unit
Volume = 12.31 Å³/atom
D(E_F) = 0.96 states/eV/atom
Symmetry = P3m1 (156)
Density = 13.9 Mg/m³



# 15
TlCoSe2: optimized geometry, GGA-PBE.

```
TlCoSe2
1.0
3.5466 0.0000 0.0000
0.0000 4.8832 0.0269
0.0000 2.5333 5.0156
Se Co Tl
2 1 1
Direct
0.0000 0.5491 0.6033
0.0000 0.9509 0.8967
0.5000 0.7500 0.7500
0.5000 0.2500 0.2500
```

Summary:
Total magnetization = 0.00 μB per formula unit
Volume = 21.66 Å³/atom
Calculated total energy = -4.298 eV/atom
D(E_F) = 0.34 states/eV/atom
Symmetry = P2/m (10)
Density = 8.1 Mg/m³



# 16
K2MgZnBr6: optimized geometry, GGA-PBE.

```
K2MgZnBr6
1.0
-5.6305 -6.7682 0.2626
-0.0335 -8.4163 -3.1659
0.6389 -6.7660 5.2757
Br Mg Zn K
6 1 1 2
Direct
0.5994 0.1070 0.8666
0.0315 0.6050 0.1586
0.1441 0.0512 0.3865
0.5965 0.1383 0.3084
0.5277 0.6539 0.7239
0.0639 0.5476 0.6548
0.8112 0.7365 0.4760
0.3449 0.2136 0.1715
0.5463 0.4864 0.4501
0.9961 0.1222 0.8188
```

Summary:
Total magnetization = 0.00 μB per formula unit
Volume = 38.46 Å³/atom
Calculated total energy = -2.884 eV/atom
D(E_F) = 0.00 states/eV/atom
Symmetry = P1 (1)
Density = 2.8 Mg/m³



# 17
RbLiPb3: optimized geometry, GGA-PBE.

```
RbLiPb3
1.0
-2.3757 -0.0769 5.8902
5.0964 -4.9413 1.9910
1.8562 7.7568 0.8499
Rb Pb Li
2 6 2
Direct
0.7500 0.5899 0.1798
0.2500 0.4101 0.8202
0.7500 0.0497 0.6792
0.7500 0.6296 0.6792
0.2500 0.9503 0.3208
0.7500 0.1762 0.3524
0.2500 0.8238 0.6476
0.2500 0.3704 0.3208
0.0000 0.0000 0.0000
0.5000 0.0000 0.0000
```

Summary:
Excess energy over the best structure of this formula in the dataset = 52 meV per atom
Total magnetization = 0.00 μB per formula unit
DFT formation energy = -0.571 eV/f.u.
Volume = 33.36 Å³/atom
D(E_F) = 0.42 states/eV/atom
Symmetry = Cmcm (63)
Density = 7.1 Mg/m³



# 18
MnFeP2: optimized geometry, GGA-PBE.

```
MnFeP2
1.0
-1.6596 -1.8856 -1.2026
1.1890 -2.0123 1.5143
-3.7483 0.7697 3.9660
Fe Mn P
1 1 2
Direct
0.5000 0.5000 0.2500
0.5000 0.5000 0.7500
0.0000 0.0000 0.9980
0.0000 0.0000 0.5020
```

Summary:
Excess energy over the best structure of this formula in the dataset = 337 meV per atom
Total magnetization = 0.54 μB per formula unit
DFT formation energy = -1.015 eV/f.u.
Volume = 10.69 Å³/atom
D(E_F) = 0.45 states/eV/atom
Symmetry = P4/mmm (123)
Density = 6.7 Mg/m³



# 19
Pm5NdIn2: optimized geometry, GGA-PBE.

```
Pm5NdIn2
1.0
-4.8147 -0.9097 -0.7970
0.5965 -6.1194 3.3812
-3.2035 6.3660 12.0866
Pm In Nd
10 4 2
Direct
0.0000 0.5000 0.5000
0.0000 0.5011 0.7497
0.5000 0.7499 0.1253
0.0000 0.4989 0.2503
0.0000 0.0011 0.7503
0.5000 0.2499 0.3747
0.5000 0.7501 0.6253
0.0000 0.0000 0.0000
0.5000 0.2501 0.8747
0.0000 0.9989 0.2497
0.5000 0.7513 0.8745
0.5000 0.2513 0.6255
0.5000 0.2487 0.1255
0.5000 0.7487 0.3745
0.0000 0.0000 0.5000
0.0000 0.5000 0.0000
```

Summary:
Excess energy over the best structure of this formula in the dataset = 0 meV per atom
Total magnetization = 0.00 μB per formula unit
DFT formation energy = -2.207 eV/f.u.
Volume = 30.55 Å³/atom
D(E_F) = 1.57 states/eV/atom
Symmetry = Pbam (55)
Density = 7.5 Mg/m³



# 20
RbSbPt: optimized geometry, GGA-PBE.

```
RbSbPt
1.0
-4.5486 -1.0408 3.3317
-1.1114 -3.4865 -2.6064
2.7200 -0.6067 3.5239
Pt Sb Rb
1 1 1
Direct
0.1665 0.0000 0.0000
0.1667 0.3333 0.6667
0.6668 0.6667 0.3333
```

Summary:
Excess energy over the best structure of this formula in the dataset = 113 meV per atom
Total magnetization = 0.00 μB per formula unit
Volume = 33.41 Å³/atom
D(E_F) = 0.82 states/eV/atom
Symmetry = P-6m2 (187)
Density = 6.7 Mg/m³